A plane-wave DFT calculation with PBE was carried out for a relaxed structure of Zr4SiNiN2.

Cell: 3.2565 3.2565 13.2940 Å, 90.00 90.00 120.00°
Fractional coordinates of all 8 atoms:
Zr: 0.0000 0.0000 0.1460
Zr: 0.0000 0.0000 0.8540
Zr: 0.3333 0.6667 0.3427
Zr: 0.3333 0.6667 0.6573
Si: 0.0000 0.0000 0.5000
Ni: 0.3333 0.6667 0.0000
N: 0.6667 0.3333 0.2443
N: 0.6667 0.3333 0.7557

## Properties
Crystal system = hexagonal
E = -8.74 eV/atom